1.
Computed, not measured: Ba2TlIr after structural relaxation at the PBEsol level of DFT.

Output
E_form = -0.050 eV per atom

Cell: 3.8124 5.4262 6.7908 Å, 113.55 106.30 90.00°
Element x y z (fractional)
Tl1 0.8142 0.3142 0.6284
Ir1 0.4810 0.4810 0.9620
Ba1 0.0080 0.0080 0.0159
Ba2 0.1969 0.6969 0.3938

=====

2.
Computed, not measured: BaTl2Ir after structural relaxation at the PBEsol level of DFT.

Output
E_form = 0.124 eV per atom

Cell: 3.6435 3.6435 7.8547 Å, 90.00 90.00 90.00°
Element x y z (fractional)
Tl1 0.0000 0.0000 0.9539
Tl2 0.5000 0.5000 0.1991
Ir1 0.5000 0.5000 0.8088
Ba1 0.0000 0.0000 0.5381

=====

3.
Computed, not measured: BaTl2Ir after structural relaxation at the PBEsol level of DFT.

Output
E_form = 0.079 eV per atom

Cell: 3.3170 3.7302 7.9174 Å, 90.00 90.00 90.00°
Element x y z (fractional)
Tl1 0.0000 0.0000 0.6903
Tl2 0.0000 0.0000 0.3097
Ir1 0.5000 0.5000 0.5000
Ba1 0.5000 0.5000 0.0000

=====

4.
Computed, not measured: BaTl2Ir after structural relaxation at the PBEsol level of DFT.

Output
E_form = 0.036 eV per atom

Cell: 3.3498 5.6544 6.4268 Å, 116.10 105.11 90.00°
Element x y z (fractional)
Tl1 0.7036 0.7036 0.4072
Tl2 0.2964 0.2964 0.5928
Ir1 0.0000 0.5000 0.0000
Ba1 0.5000 0.0000 0.0000

=====

5.
Computed, not measured: BaIrW2 after structural relaxation at the PBEsol level of DFT.

Output
E_form = 1.335 eV per atom
distance to the lowest polymorph of the same formula = 681 meV per atom

Cell: 2.9489 5.0850 5.0352 Å, 90.00 90.00 90.00°
Element x y z (fractional)
Ir1 0.0000 0.5000 0.5000
Ba1 0.5000 0.0000 0.5000
W1 0.0000 0.0000 0.0000
W2 0.5000 0.5000 0.0000

=====

6.
Computed, not measured: BaIrW2 after structural relaxation at the PBEsol level of DFT.

Output
E_form = 0.936 eV per atom
distance to the lowest polymorph of the same formula = 282 meV per atom

Cell: 2.8210 5.1979 6.2552 Å, 114.55 103.03 90.00°
Element x y z (fractional)
Ir1 0.5000 0.0000 0.0000
Ba1 0.0000 0.5000 0.0000
W1 0.7926 0.7926 0.5853
W2 0.2074 0.2074 0.4147

=====

7.
Computed, not measured: BaIrW2 after structural relaxation at the PBEsol level of DFT.

Output
E_form = 0.654 eV per atom
distance to the lowest polymorph of the same formula = 0 meV per atom

Cell: 2.9079 2.9079 9.2237 Å, 90.00 90.00 90.00°
Element x y z (fractional)
Ir1 0.5000 0.5000 0.8033
Ba1 0.0000 0.0000 0.5187
W1 0.0000 0.0000 0.9787
W2 0.5000 0.5000 0.1993

=====

8.
Computed, not measured: BaIrW2 after structural relaxation at the PBEsol level of DFT.

Output
E_form = 1.473 eV per atom
distance to the lowest polymorph of the same formula = 819 meV per atom

Cell: 2.8180 5.4966 5.6471 Å, 119.12 90.00 90.00°
Element x y z (fractional)
Ir1 0.5000 0.5000 0.0000
Ba1 0.5000 0.0000 0.0000
W1 0.0000 0.5000 0.5000
W2 0.0000 0.0000 0.5000

=====

9.
Computed, not measured: BaIrW2 after structural relaxation at the PBEsol level of DFT.

Output
E_form = 1.021 eV per atom
distance to the lowest polymorph of the same formula = 367 meV per atom

Cell: 3.0531 4.6308 6.4961 Å, 90.00 102.03 90.00°
Element x y z (fractional)
Ir1 0.0000 0.5000 0.5000
Ba1 0.5000 0.5000 0.0000
W1 0.8043 0.0000 0.6496
W2 0.1957 0.0000 0.3504

=====

10.
Computed, not measured: BaIrW2 after structural relaxation at the PBEsol level of DFT.

Output
E_form = 0.777 eV per atom
distance to the lowest polymorph of the same formula = 123 meV per atom

Cell: 3.0260 4.9086 6.5750 Å, 101.89 90.00 107.95°
Element x y z (fractional)
Ir1 0.7239 0.4478 0.1501
Ba1 0.4891 0.9782 0.4870
W1 0.0013 0.0026 0.0012
W2 0.2857 0.5714 0.8617

=====

11.
Computed, not measured: BaIrW2 after structural relaxation at the PBEsol level of DFT.

Output
E_form = 1.265 eV per atom
distance to the lowest polymorph of the same formula = 611 meV per atom

Cell: 4.7309 4.7309 4.7309 Å, 60.00 60.00 60.00°
Element x y z (fractional)
Ir1 0.2500 0.2500 0.2500
Ba1 0.5000 0.5000 0.5000
W1 0.0000 0.0000 0.0000
W2 0.7500 0.7500 0.7500

=====

12.
Computed, not measured: BaY2Ir after structural relaxation at the PBEsol level of DFT.

Output
E_form = 0.048 eV per atom

Cell: 5.1720 5.1720 5.1720 Å, 60.00 60.00 60.00°
Element x y z (fractional)
Ba1 0.0000 0.0000 0.0000
Ir1 0.5000 0.5000 0.5000
Y1 0.2500 0.2500 0.2500
Y2 0.7500 0.7500 0.7500

=====

13.
Computed, not measured: BaYIr after structural relaxation at the PBEsol level of DFT.

Output
E_form = -0.258 eV per atom
distance to the lowest polymorph of the same formula = 0 meV per atom

Cell: 3.5576 3.5576 7.4472 Å, 103.82 103.82 90.00°
Element x y z (fractional)
Ba1 0.9650 0.9650 0.9300
Ir1 0.3143 0.3143 0.6286
Y1 0.7207 0.7207 0.4414

=====

14.
Computed, not measured: BaYIr after structural relaxation at the PBEsol level of DFT.

Output
E_form = -0.145 eV per atom
distance to the lowest polymorph of the same formula = 114 meV per atom

Cell: 4.9740 4.9740 4.9740 Å, 60.00 60.00 60.00°
Element x y z (fractional)
Ba1 0.5000 0.5000 0.5000
Ir1 0.2500 0.2500 0.2500
Y1 0.0000 0.0000 0.0000

=====

15.
Computed, not measured: Ba2YIr after structural relaxation at the PBEsol level of DFT.

Output
E_form = -0.213 eV per atom
distance to the lowest polymorph of the same formula = 0 meV per atom

Cell: 3.8203 4.1559 9.5437 Å, 102.58 90.00 90.00°
Element x y z (fractional)
Ba1 0.0000 0.9706 0.9412
Ba2 0.5000 0.2741 0.5482
Ir1 0.0000 0.1349 0.2698
Y1 0.5000 0.6140 0.2279

=====

16.
Computed, not measured: Ba2YIr after structural relaxation at the PBEsol level of DFT.

Output
E_form = 0.296 eV per atom
distance to the lowest polymorph of the same formula = 510 meV per atom

Cell: 3.6739 3.6739 10.1569 Å, 90.00 90.00 90.00°
Each line ends with the local moment (μB).
Element x y z (fractional)
Ba1 0.0000 0.0000 0.8219  0.03
Ba2 0.0000 0.0000 0.1781  0.03
Ir1 0.5000 0.5000 0.0000  0.23
Y1 0.5000 0.5000 0.5000  0.60

=====

17.
Computed, not measured: Ba2YIr after structural relaxation at the PBEsol level of DFT.

Output
E_form = 0.303 eV per atom
distance to the lowest polymorph of the same formula = 516 meV per atom

Cell: 4.4630 4.4630 5.6549 Å, 90.00 90.00 90.00°
Element x y z (fractional)
Ba1 0.0000 0.5000 0.0000
Ba2 0.5000 0.0000 0.0000
Ir1 0.5000 0.5000 0.5000
Y1 0.0000 0.0000 0.5000

=====

18.
Computed, not measured: BaZn2Ir after structural relaxation at the PBEsol level of DFT.

Output
E_form = -0.207 eV per atom

Cell: 4.3700 4.3257 6.1612 Å, 111.62 90.00 120.34°
Element x y z (fractional)
Zn1 0.6933 0.3865 0.5803
Zn2 0.3067 0.6135 0.4197
Ir1 0.0000 0.0000 0.5000
Ba1 0.5000 0.0000 0.0000

=====

19.
Computed, not measured: BaZn3Ir after structural relaxation at the PBEsol level of DFT.

Output
E_form = -0.284 eV per atom
distance to the lowest polymorph of the same formula = 0 meV per atom

Cell: 6.5810 6.7662 6.7662 Å, 62.64 60.90 60.90°
Element x y z (fractional)
Zn1 0.7926 0.2074 0.7074
Zn2 0.2926 0.2074 0.7074
Zn3 0.7074 0.7926 0.2926
Zn4 0.2074 0.7926 0.2926
Zn5 0.7500 0.8241 0.6759
Zn6 0.2500 0.1759 0.3241
Ir1 0.0000 0.5000 0.5000
Ir2 0.5000 0.0000 0.0000
Ba1 0.7500 0.3363 0.1637
Ba2 0.2500 0.6637 0.8363

=====

20.
Computed, not measured: BaZn3Ir after structural relaxation at the PBEsol level of DFT.

Output
E_form = -0.264 eV per atom
distance to the lowest polymorph of the same formula = 20 meV per atom

Cell: 4.8413 4.8413 4.8413 Å, 90.00 90.00 90.00°
Element x y z (fractional)
Zn1 0.0000 0.5000 0.0000
Zn2 0.0000 0.0000 0.5000
Zn3 0.5000 0.0000 0.0000
Ir1 0.0000 0.0000 0.0000
Ba1 0.5000 0.5000 0.5000

=====

21.
Computed, not measured: BaZn2Ir after structural relaxation at the PBEsol level of DFT.

Output
E_form = -0.218 eV per atom

Cell: 4.3783 4.3783 6.1191 Å, 69.05 69.04 60.00°
Element x y z (fractional)
Zn1 0.9879 0.9877 0.0364
Zn2 0.6908 0.6905 0.9279
Ir1 0.3159 0.3156 0.0526
Ba1 0.5054 0.5062 0.4830

=====

22.
Computed, not measured: BaZn2Ir2 after structural relaxation at the PBEsol level of DFT.

Output
E_form = -0.130 eV per atom

Cell: 4.4129 4.4129 5.9532 Å, 111.75 111.75 90.00°
Element x y z (fractional)
Zn1 0.2500 0.7500 0.5000
Zn2 0.7500 0.2500 0.5000
Ir1 0.6191 0.6191 0.2383
Ir2 0.3809 0.3809 0.7617
Ba1 0.0000 0.0000 0.0000

=====

23.
Computed, not measured: BaZrIr after structural relaxation at the PBEsol level of DFT.

Output
E_form = 0.274 eV per atom

Cell: 4.8256 4.8256 4.8256 Å, 60.00 60.00 60.00°
Element x y z (fractional)
Ba1 0.5000 0.5000 0.5000
Ir1 0.2500 0.2500 0.2500
Zr1 0.0000 0.0000 0.0000

=====

24.
Computed, not measured: BaZr2Ir after structural relaxation at the PBEsol level of DFT.

Output
E_form = -0.119 eV per atom
distance to the lowest polymorph of the same formula = 0 meV per atom

Cell: 4.2472 4.2472 7.6270 Å, 73.83 73.83 60.00°
Element x y z (fractional)
Ba1 0.5000 0.5000 0.5000
Ir1 0.0000 0.0000 0.0000
Zr1 0.2874 0.2874 0.1378
Zr2 0.7126 0.7126 0.8622

=====

25.
Computed, not measured: BaZrIr2 after structural relaxation at the PBEsol level of DFT.

Output
E_form = 0.360 eV per atom
distance to the lowest polymorph of the same formula = 432 meV per atom

Cell: 4.7644 4.7644 4.7676 Å, 119.98 119.98 90.00°
Element x y z (fractional)
Ba1 0.2500 0.7500 0.5000
Ir1 0.0000 0.0000 0.0000
Ir2 0.7500 0.2500 0.5000
Zr1 0.5000 0.5000 0.0000

=====

26.
Computed, not measured: BaZrIr2 after structural relaxation at the PBEsol level of DFT.

Output
E_form = 0.045 eV per atom
distance to the lowest polymorph of the same formula = 116 meV per atom

Cell: 3.1322 5.2585 6.0104 Å, 99.99 90.00 107.33°
Element x y z (fractional)
Ba1 0.7347 0.4693 0.2128
Ir1 0.9590 0.9180 0.9359
Ir2 0.2617 0.5235 0.7068
Zr1 0.5446 0.0892 0.6444

=====

27.
Computed, not measured: BaZr2Ir after structural relaxation at the PBEsol level of DFT.

Output
E_form = 0.353 eV per atom
distance to the lowest polymorph of the same formula = 472 meV per atom

Cell: 3.2807 5.0274 5.0274 Å, 90.00 90.00 90.00°
Element x y z (fractional)
Ba1 0.5000 0.5000 0.5000
Ir1 0.5000 0.0000 0.0000
Zr1 0.0000 0.0000 0.5000
Zr2 0.0000 0.5000 0.0000

=====

28.
Computed, not measured: BaZrIr2 after structural relaxation at the PBEsol level of DFT.

Output
E_form = -0.071 eV per atom
distance to the lowest polymorph of the same formula = 0 meV per atom

Cell: 3.6949 4.1134 6.6338 Å, 90.00 106.17 90.00°
Element x y z (fractional)
Ba1 0.2157 0.5000 0.8063
Ir1 0.8366 0.0000 0.0485
Ir2 0.9619 0.5000 0.2986
Zr1 0.4857 0.0000 0.3466

=====

29.
Computed, not measured: BaZr2Ir after structural relaxation at the PBEsol level of DFT.

Output
E_form = -0.077 eV per atom
distance to the lowest polymorph of the same formula = 42 meV per atom

Cell: 3.3788 3.3787 8.5893 Å, 89.97 90.00 90.00°
Element x y z (fractional)
Ba1 0.5000 0.5000 0.5000
Ir1 0.5000 0.5000 0.0000
Zr1 0.0000 0.9991 0.8302
Zr2 0.0000 0.0009 0.1698

=====

30.
Computed, not measured: K2Ba after structural relaxation at the PBEsol level of DFT.

Output
E_form = 0.424 eV per atom

Cell: 7.1345 7.1345 7.1345 Å, 60.00 60.00 60.00°
Element x y z (fractional)
Ba1 0.0000 0.0000 0.0000
K1 0.7500 0.7500 0.7500
K2 0.2500 0.2500 0.2500

=====

For the records above, the corresponding density of states at the Fermi level values read 0.69; 0.69; 0.59; 0.67; 1.02; 0.59; 0.76; 1.03; 1.11; 0.95; 0.80; 1.14; 0.66; 0.55; 0.45; 1.11; 1.00; 0.57; 0.41; 0.47; 0.53; 0.20; 0.69; 1.28; 1.03; 0.53; 0.87; 0.83; 1.13; 1.50 states/eV per atom.